{"formula": "Ac3La3Y4", "functional": "PBE-GGA", "state": "relaxed", "lattice_angstrom": [[3.781, 0.000, 0.000], [0.000, 10.066, -0.096], [0.000, -0.007, 10.066]], "species": ["Ac", "Ac", "La", "Y", "La", "Y", "Y", "Ac", "La", "Y"], "frac_coords": [[0.000, 0.001, 0.499], [0.500, 0.176, 0.824], [0.500, 0.326, 0.322], [0.000, 0.115, 0.126], [0.500, 0.678, 0.674], [0.000, 0.385, 0.615], [0.000, 0.874, 0.885], [0.000, 0.501, 0.999], [0.500, 0.823, 0.177], [0.000, 0.621, 0.379]], "total_energy_ev_per_atom": -5.2059, "spacegroup": "Amm2 (38)", "m_tot_mub_per_fu": 0.0, "dos_at_fermi_per_ev_cell": 12.19, "formation_energy_ev_per_atom": 0.0905}



{"formula": "YZrBr2", "functional": "PBE-GGA", "state": "relaxed", "lattice_angstrom": [[3.371, 0.000, 0.000], [0.000, 6.286, 0.000], [0.000, 0.000, 4.784]], "species": ["Br", "Zr", "Y", "Br"], "frac_coords": [[0.500, 0.500, 0.000], [0.000, 0.500, 0.500], [0.500, 0.000, 0.500], [0.000, 0.000, 0.000]], "total_energy_ev_per_atom": -5.1687, "spacegroup": "Pmmm (47)", "m_tot_mub_per_fu": 0.0, "e_form_raw_ev_per_atom": -0.579, "dos_at_fermi_per_ev_cell": 2.80}



{"formula": "Ca2PmPr4", "functional": "PBE-GGA", "state": "relaxed", "lattice_angstrom": [[3.570, 0.000, -0.597], [-0.255, 5.795, -1.522], [0.258, 0.193, 12.517]], "species": ["Pr", "Pr", "Pr", "Pm", "Ca", "Pr", "Ca"], "frac_coords": [[0.920, 0.420, 0.840], [0.631, 0.132, 0.263], [0.369, 0.868, 0.737], [0.000, 0.000, 0.000], [0.279, 0.279, 0.558], [0.080, 0.580, 0.160], [0.721, 0.721, 0.442]], "total_energy_ev_per_atom": -3.8792, "spacegroup": "Immm (71)", "m_tot_mub_per_fu": 0.0, "dos_at_fermi_per_ev_cell": 10.47, "formation_energy_ev_per_atom": 0.1025}